Version a
A plane-wave DFT calculation with PBE was carried out for a relaxed Pa2NiS6 crystal.

Results
- DOS at the Fermi energy: 7.15 states/eV per cell
- Crystal system: tetragonal

Unit cell a=6.214 b=6.214 c=11.104 alpha=90.00 beta=90.00 gamma=90.00
Positions (direct):
Pa (0.000, 0.000, 0.176)
Pa (0.000, 0.000, 0.824)
Pa (0.500, 0.500, 0.324)
Pa (0.500, 0.500, 0.676)
Ni (0.000, 0.000, 0.500)
Ni (0.500, 0.500, 0.000)
S (0.190, 0.190, 0.357)
S (0.190, 0.190, 0.643)
S (0.193, 0.193, 0.000)
S (0.307, 0.693, 0.500)
S (0.310, 0.690, 0.143)
S (0.310, 0.690, 0.857)
S (0.690, 0.310, 0.143)
S (0.690, 0.310, 0.857)
S (0.693, 0.307, 0.500)
S (0.807, 0.807, 0.000)
S (0.810, 0.810, 0.357)
S (0.810, 0.810, 0.643)


Version b
A plane-wave DFT calculation with PBE was carried out for a relaxed Pa2NiS6 crystal.

Results
- DOS at the Fermi energy: 1.70 states/eV per cell
- Crystal system: monoclinic

Unit cell a=5.704 b=7.191 c=10.154 alpha=90.00 beta=122.88 gamma=90.00
Positions (direct):
Pa (0.170, 0.129, 0.243)
Pa (0.170, 0.371, 0.743)
Pa (0.830, 0.629, 0.257)
Pa (0.830, 0.871, 0.757)
Ni (0.000, 0.000, 0.500)
Ni (0.000, 0.500, 0.000)
S (0.105, 0.168, 0.945)
S (0.105, 0.332, 0.445)
S (0.288, 0.660, 0.951)
S (0.288, 0.840, 0.451)
S (0.362, 0.018, 0.748)
S (0.362, 0.482, 0.248)
S (0.638, 0.518, 0.752)
S (0.638, 0.982, 0.252)
S (0.712, 0.160, 0.549)
S (0.712, 0.340, 0.049)
S (0.895, 0.668, 0.555)
S (0.895, 0.832, 0.055)


Least stable structure: version a


Version a
A plane-wave DFT calculation with PBE was carried out for a relaxed PaNiS2 crystal.

Results
- DOS at the Fermi energy: 3.52 states/eV per cell
- Crystal system: monoclinic

Unit cell a=6.754 b=3.899 c=7.112 alpha=90.00 beta=108.53 gamma=90.00
Positions (direct):
Pa (0.000, 0.000, 0.000)
Pa (0.500, 0.500, 0.000)
Ni (0.413, 0.000, 0.237)
Ni (0.913, 0.500, 0.237)
S (0.090, 0.500, 0.770)
S (0.260, 0.500, 0.280)
S (0.590, 0.000, 0.770)
S (0.760, 0.000, 0.280)


Version b
A plane-wave DFT calculation with PBE was carried out for a relaxed PaNiS2 crystal.

Results
- DOS at the Fermi energy: 13.65 states/eV per cell
- Crystal system: trigonal

Unit cell a=4.297 b=4.297 c=12.593 alpha=90.00 beta=90.00 gamma=120.00
Positions (direct):
Pa (0.000, 0.000, 0.000)
Pa (0.333, 0.667, 0.667)
Pa (0.667, 0.333, 0.333)
Ni (0.000, 0.000, 0.500)
Ni (0.333, 0.667, 0.167)
Ni (0.667, 0.333, 0.833)
S (0.000, 0.000, 0.236)
S (0.000, 0.000, 0.764)
S (0.333, 0.667, 0.431)
S (0.333, 0.667, 0.902)
S (0.667, 0.333, 0.098)
S (0.667, 0.333, 0.569)


Least stable structure: version b


Version a
A plane-wave DFT calculation with PBE was carried out for a relaxed Pa2NiSb crystal.

Results
- DOS at the Fermi energy: 10.27 states/eV per cell
- Crystal system: monoclinic

Unit cell a=6.185 b=3.820 c=8.178 alpha=90.00 beta=108.02 gamma=90.00
Positions (direct):
Pa (0.146, 0.250, 0.383)
Pa (0.244, 0.750, 0.048)
Pa (0.756, 0.250, 0.952)
Pa (0.854, 0.750, 0.617)
Ni (0.164, 0.250, 0.792)
Ni (0.836, 0.750, 0.208)
Sb (0.393, 0.750, 0.695)
Sb (0.607, 0.250, 0.305)


Version b
A plane-wave DFT calculation with PBE was carried out for a relaxed Pa2NiSb crystal.

Results
- DOS at the Fermi energy: 24.87 states/eV per cell
- Crystal system: trigonal

Unit cell a=4.036 b=4.036 c=21.268 alpha=90.00 beta=90.00 gamma=120.00
Positions (direct):
Pa (0.000, 0.000, 0.234)
Pa (0.000, 0.000, 0.766)
Pa (0.333, 0.667, 0.433)
Pa (0.333, 0.667, 0.900)
Pa (0.667, 0.333, 0.100)
Pa (0.667, 0.333, 0.567)
Ni (0.000, 0.000, 0.500)
Ni (0.333, 0.667, 0.167)
Ni (0.667, 0.333, 0.833)
Sb (0.000, 0.000, 0.000)
Sb (0.333, 0.667, 0.667)
Sb (0.667, 0.333, 0.333)


Least stable structure: version b


Version a
A plane-wave DFT calculation with PBE was carried out for a relaxed PaNi2Sb crystal.

Results
- DOS at the Fermi energy: 1.94 states/eV per cell
- Crystal system: orthorhombic

Unit cell a=4.401 b=4.828 c=6.918 alpha=90.00 beta=90.00 gamma=90.00
Positions (direct):
Pa (0.000, 0.000, 0.000)
Pa (0.000, 0.500, 0.500)
Ni (0.000, 0.000, 0.425)
Ni (0.000, 0.500, 0.925)
Ni (0.500, 0.000, 0.251)
Ni (0.500, 0.500, 0.751)
Sb (0.500, 0.000, 0.625)
Sb (0.500, 0.500, 0.125)


Version b
A plane-wave DFT calculation with PBE was carried out for a relaxed PaNi2Sb crystal.

Results
- DOS at the Fermi energy: 8.28 states/eV per cell
- Crystal system: cubic

Unit cell a=6.541 b=6.541 c=6.541 alpha=90.00 beta=90.00 gamma=90.00
Positions (direct):
Pa (0.000, 0.000, 0.000)
Pa (0.000, 0.500, 0.500)
Pa (0.500, 0.000, 0.500)
Pa (0.500, 0.500, 0.000)
Ni (0.250, 0.250, 0.250)
Ni (0.250, 0.250, 0.750)
Ni (0.250, 0.750, 0.250)
Ni (0.250, 0.750, 0.750)
Ni (0.750, 0.250, 0.250)
Ni (0.750, 0.250, 0.750)
Ni (0.750, 0.750, 0.250)
Ni (0.750, 0.750, 0.750)
Sb (0.000, 0.000, 0.500)
Sb (0.000, 0.500, 0.000)
Sb (0.500, 0.000, 0.000)
Sb (0.500, 0.500, 0.500)


Least stable structure: version b